This record from the Alexandria database describes a relaxed structure of ScSi2Pb. The functional is PBE.

Values from the calculation:
The crystal system is trigonal. For the density of states at the Fermi level, the calculation gives 0.641 states/eV/atom. The formation energy from raw total energies comes out at 202 meV per atom. The mass density comes out at 5.8 g cm⁻³. As for the space group: R-3m, No. 166.

a = 8.502 Å, b = 8.502 Å, c = 8.502 Å
α = 23.84°, β = 23.84°, γ = 23.84°
Fractional coordinates of all 4 atoms:
Sc 0.750 0.750 0.750
Si 0.006 0.006 0.006
Pb 0.250 0.250 0.250
Si 0.494 0.494 0.494